# Mg2MnNbO6

Mg2MnNbO6 after structural relaxation (PBE with a Hubbard U, Alexandria).

Its space group is P1, No. 1. The calculation puts the magnetic moment at 4.00 μB/cell. The uncorrected energy comes out at -7.417 eV per atom.

Lattice parameters (Å, degrees): 5.125 5.227 5.499 62.54 89.61 61.55
Fractional coordinates of all 10 atoms:
Mg 0.000 0.000 0.000
Mg 0.499 0.011 0.483
Mn 0.785 0.433 0.362
Nb 0.285 0.428 0.861
O 0.069 0.527 0.163
O 0.211 0.881 0.695
O 0.390 0.950 0.155
O 0.578 0.254 0.658
O 0.689 0.246 0.169
O 0.911 0.529 0.649